# 1
# ZrSi2Ru

Crystalline ZrSi2Ru at its relaxed geometry (PBE-GGA, Alexandria via LeMat-Bulk).

abc: 3.8313 3.5665 4.9291
angles: 68.83 90.00 90.00
Positions (direct):
1 Ru 0.5000 0.7559 0.8624
2 Si 0.0000 0.2109 0.9529
3 Si 0.5000 0.0471 0.2812
4 Zr 0.0000 0.4861 0.4035

Raw formation energy (eV per formula unit): -2.01
Total energy (eV per atom): -7.670
Space-group type: No. 38

# 2
# ZrSi3Ru

Crystalline ZrSi3Ru at its relaxed geometry (PBE-GGA, Alexandria via LeMat-Bulk).

abc: 4.5757 4.5757 4.5757
angles: 90.00 90.00 90.00
Positions (direct):
1 Ru 0.0000 0.0000 0.0000
2 Si 0.0000 0.5000 0.0000
3 Si 0.0000 0.0000 0.5000
4 Si 0.5000 0.0000 0.0000
5 Zr 0.5000 0.5000 0.5000

Raw formation energy (eV per formula unit): 2.31
Total energy (eV per atom): -6.356
Space-group type: No. 221

# 3
# ZrSi2Ru

Crystalline ZrSi2Ru at its relaxed geometry (PBE-GGA, Alexandria via LeMat-Bulk).

abc: 3.9831 3.9831 9.2714
angles: 77.60 77.60 90.00
Positions (direct):
1 Ru 0.0000 0.0000 0.0000
2 Ru 0.7500 0.2500 0.5000
3 Si 0.7022 0.1250 0.2500
4 Si 0.0478 0.6250 0.2500
5 Si 0.3750 0.2978 0.7500
6 Si 0.8750 0.9522 0.7500
7 Zr 0.5000 0.5000 0.0000
8 Zr 0.2500 0.7500 0.5000

Raw formation energy (eV per formula unit): -0.56
Total energy (eV per atom): -7.308
Space-group type: No. 122

# 4
# ZrSi2Ru

Crystalline ZrSi2Ru at its relaxed geometry (PBE-GGA, Alexandria via LeMat-Bulk).

abc: 4.3430 4.3430 4.3430
angles: 114.77 114.77 99.33
Positions (direct):
1 Ru 0.7500 0.2500 0.5000
2 Si 0.0000 0.0000 0.0000
3 Si 0.5000 0.5000 0.0000
4 Zr 0.2500 0.7500 0.5000

Raw formation energy (eV per formula unit): -1.36
Total energy (eV per atom): -7.509
Space-group type: No. 139

The evaluated spin magnetization for the records listed, in turn: 0.00 0.65 0.00 0.00 μB per cell.